The following is a DFT calculation (PBE) of a relaxed Nd4Pb crystal.

Properties
Density of states at the Fermi level = 11.41 states/eV per cell
Excess energy over the best structure of this formula in the dataset = 2.48 eV per formula unit
ΔH_f (0 K) = 332.0 meV per atom
Total moment = 0.343 μB/atom

Lattice parameters (Å, degrees): 6.007 6.007 6.007 90.00 90.00 90.00
Space group Pm-3m (No. 221)
One atom of each set of equivalent atoms:
Nd 0.000 0.000 0.000
Nd 0.000 0.500 0.500
Pb 0.500 0.500 0.500